Below is PaTlI5 after structural relaxation, with properties calculated at the PBE level.

Values from the calculation:
Formation energy (no corrections)   -0.84 eV/atom

a b c (Å): 13.7951 9.5699 12.0817
angles (deg): 90.00 114.28 90.00
Last column: nearest neighbours and their distance in Å.
Space group C2/c (No. 15)
One atom of each set of equivalent atoms:
Pa  0.0000  0.0000  0.0000 [4 per cell]  6 I 2.98-3.13
Tl  0.0000  0.4752  0.2500 [4 per cell]  5 I 3.47-3.72
I  0.0000  0.0867  0.2500 [4 per cell]  2 Pa 3.13
I  0.0797  0.2919  0.9918 [8 per cell]  1 Pa 3.02
I  0.2227  0.1021  0.6276 [8 per cell]  1 Pa 2.98

=====

Below is Pa2TlI11 after structural relaxation, with properties calculated at the PBE level.

Values from the calculation:
Formation energy (no corrections)   -0.84 eV/atom

a b c (Å): 13.9939 14.0881 15.8885
angles (deg): 90.00 90.00 90.00
Last column: nearest neighbours and their distance in Å.
Space group Ibam (No. 72)
One atom of each set of equivalent atoms:
Pa  0.1590  0.1573  0.0000 [8 per cell]  6 I 2.85-3.14
Tl  0.0000  0.5000  0.2500 [4 per cell]  8 I 3.88-3.93
I  0.0000  0.0000  0.0000 [4 per cell]  2 Pa 3.14
I  0.0532  0.2612  0.1308 [16 per cell]  1 Pa 2.94
I  0.1974  0.1996  0.5000 [8 per cell]  1 Pa 2.85
I  0.2365  0.4486  0.3695 [16 per cell]  1 Pa 2.94

=====

Below is PaTl2I8 after structural relaxation, with properties calculated at the PBE level.

Values from the calculation:
Formation energy (no corrections)   -0.66 eV/atom
Energy above the most stable polymorph in this dataset   14 meV/atom

a b c (Å): 16.6102 8.0304 8.5486
angles (deg): 90.00 100.74 90.00
Last column: nearest neighbours and their distance in Å.
Space group C2/m (No. 12)
One atom of each set of equivalent atoms:
Pa  0.0000  0.0000  0.0000 [2 per cell]  6 I 2.95-2.97
Tl  0.1505  0.0000  0.5550 [4 per cell]  4 I 3.24-3.62
I  0.0299  0.2533  0.2533 [8 per cell]  1 Pa 2.95
I  0.1774  0.0000  0.9849 [4 per cell]  1 Pa 2.97
I  0.1919  0.5000  0.6177 [4 per cell]  1 Tl 3.24

=====

Below is PaTl3I7 after structural relaxation, with properties calculated at the PBE level.

Values from the calculation:
Formation energy (no corrections)   -0.76 eV/atom

a b c (Å): 12.3213 10.6705 9.5066
angles (deg): 90.00 125.34 90.00
Last column: nearest neighbours and their distance in Å.
Space group Cm (No. 8)
One atom of each set of equivalent atoms:
Pa  0.0000  0.0000  0.0000 [2 per cell]  7 I 3.05-3.29
Tl  0.4261  0.2905  0.4359 [4 per cell]  4 I 3.32-3.68
Tl  0.4371  0.0000  0.8591 [2 per cell]  6 I 3.42-3.67
I  0.0615  0.2673  0.1784 [4 per cell]  1 Pa 3.18, 1 Tl 3.51
I  0.1471  0.0000  0.8294 [2 per cell]  1 Pa 3.05
I  0.2927  0.5000  0.0821 [2 per cell]  1 Pa 3.07
I  0.3070  0.0000  0.3510 [2 per cell]  1 Pa 3.29, 2 Tl 3.32
I  0.3098  0.3168  0.6984 [4 per cell]  1 Pa 3.12

=====

Below is PaTl3I8 after structural relaxation, with properties calculated at the PBE level.

Values from the calculation:
Formation energy (no corrections)   -0.73 eV/atom

a b c (Å): 10.8402 10.8402 11.2448
angles (deg): 90.00 90.00 120.00
Last column: nearest neighbours and their distance in Å.
Space group P6_3mc (No. 186)
One atom of each set of equivalent atoms:
Pa  0.3333  0.6667  0.0000 [2 per cell]  7 I 2.99-3.31
Tl  0.1466  0.2932  0.7267 [6 per cell]  4 I 3.47-3.54
I  0.0000  0.0000  0.4148 [2 per cell]  3 Tl 3.47
I  0.0285  0.5143  0.9232 [6 per cell]  1 Pa 2.99
I  0.2094  0.4188  0.1746 [6 per cell]  1 Pa 3.04
I  0.3333  0.6667  0.7059 [2 per cell]  1 Pa 3.31, 3 Tl 3.51

=====

Below is PaTl4I10 after structural relaxation, with properties calculated at the PBE level.

Values from the calculation:
Formation energy (no corrections)   -0.61 eV/atom

a b c (Å): 12.6790 12.6790 8.4337
angles (deg): 90.00 90.00 90.00
Last column: nearest neighbours and their distance in Å.
Space group I4/m (No. 87)
One atom of each set of equivalent atoms:
Pa  0.0000  0.0000  0.0000 [2 per cell]  8 I 3.16
Tl  0.0933  0.6876  0.5000 [8 per cell]  6 I 3.39-3.76
I  0.0000  0.5000  0.2500 [4 per cell]  4 Tl 3.39
I  0.0989  0.1767  0.2177 [16 per cell]  1 Pa 3.16